Entry 1:
AcCe4N6: relaxed, PBE-GGA.

The structure in POSCAR format:
```
AcCe4N6
1.0
3.562 0.000 0.000
-1.781 5.941 0.000
0.000 0.000 17.504
Ce N Ac
8 12 2
direct
0.599 0.197 0.863
0.401 0.803 0.137
0.865 0.730 0.955
0.401 0.803 0.363
0.865 0.730 0.545
0.135 0.270 0.045
0.599 0.197 0.637
0.135 0.270 0.455
0.500 0.000 0.500
0.035 0.070 0.347
0.500 0.000 0.000
0.777 0.555 0.420
0.777 0.555 0.080
0.223 0.445 0.580
0.965 0.930 0.653
0.223 0.445 0.920
0.035 0.070 0.153
0.306 0.612 0.250
0.965 0.930 0.847
0.694 0.388 0.750
0.343 0.687 0.750
0.657 0.313 0.250
```

Crystal system = orthorhombic
Magnetic moment = 1.4 Bohr magnetons per cell
Space group = Cmcm, No. 63
Raw formation energy = -15.03 eV/f.u.



Entry 2:
TiAuN2O: relaxed, PBE-GGA.

The structure in POSCAR format:
```
TiAuN2O
1.0
4.010 0.000 0.000
0.000 4.010 0.000
0.000 0.000 3.939
N Ti O Au
2 1 1 1
direct
0.500 0.000 0.000
0.000 0.500 0.000
0.500 0.500 0.500
0.000 0.000 0.500
0.000 0.000 0.000
```

Crystal system = tetragonal
Magnetic moment = 0.0 Bohr magnetons per cell
Space group = P4/mmm, No. 123
Raw formation energy = 5.90 eV/f.u.



Entry 3:
BaOs2PdO8: relaxed, PBE-GGA.

The structure in POSCAR format:
```
BaOs2PdO8
1.0
-1.253 0.718 5.037
3.997 -2.660 2.098
4.469 5.229 1.974
Os O Pd Ba
2 8 1 1
direct
0.451 0.451 0.742
0.549 0.549 0.258
0.690 0.224 0.233
0.738 0.738 0.037
0.776 0.310 0.767
0.262 0.262 0.963
0.224 0.690 0.233
0.663 0.663 0.451
0.337 0.337 0.549
0.310 0.776 0.767
0.000 0.000 0.000
0.000 0.000 0.500
```

Crystal system = monoclinic
Magnetic moment = 0.0 Bohr magnetons per cell
Space group = C2/m, No. 12
Raw formation energy = -13.68 eV/f.u.